# 1
{
  "formula": "SrSbMoI2",
  "functional": "PBE",
  "state": "relaxed",
  "lattice_angstrom": [[-5.308, 3.197, -0.444], [0.258, -0.432, -6.191], [-3.401, -5.612, 0.250]],
  "species": ["Sr", "I", "I", "Mo", "Sb"],
  "fractional_positions": [[0.000, 0.000, 0.000], [0.500, 0.000, 0.000], [0.000, 0.500, 0.000], [0.500, 0.500, 0.500], [0.000, 0.000, 0.500]],
  "space_group": "P4/mmm",
  "de_polymorph_ev_per_atom": 0.758,
  "e_form_raw_mev_per_atom": 666,
  "total_magnetization_mub_per_fu": 3.0,
  "dos_ef_per_ev_cell": 2.76
}


# 2
{
  "formula": "HgTe3As",
  "functional": "PBE",
  "state": "relaxed",
  "lattice_angstrom": [[5.480, 0.000, 0.000], [0.000, 5.480, 0.000], [0.000, 0.000, 5.480]],
  "species": ["Hg", "Te", "Te", "Te", "As"],
  "fractional_positions": [[0.500, 0.500, 0.500], [0.500, 0.000, 0.000], [0.000, 0.500, 0.000], [0.000, 0.000, 0.500], [0.000, 0.000, 0.000]],
  "space_group": "Pm-3m",
  "de_polymorph_ev_per_atom": 0.000,
  "e_form_raw_mev_per_atom": 425,
  "total_magnetization_mub_per_fu": 0.0,
  "dos_ef_per_ev_cell": 5.53
}


# 3
{
  "formula": "Th2Tc2Sn",
  "functional": "PBE",
  "state": "relaxed",
  "lattice_angstrom": [[-2.267, 2.944, 4.461], [2.267, -2.944, 4.461], [2.267, 2.944, -4.461]],
  "species": ["Sn", "Th", "Th", "Tc", "Tc"],
  "fractional_positions": [[0.000, 0.000, 0.000], [0.293, 0.793, 0.500], [0.707, 0.207, 0.500], [0.296, 0.500, 0.796], [0.704, 0.500, 0.204]],
  "space_group": "Immm",
  "total_magnetization_mub_per_fu": 0.0,
  "dos_ef_per_ev_cell": 5.73,
  "ef_ev_per_fu": -1.3
}